[1]
A relaxed structure of MgCuRh2, computed with GGA-PBE.

The structure in POSCAR format:
```
MgCuRh2
1.0
4.6047 0.0073 -0.0072
3.7589 2.6597 -0.0072
0.8684 0.2769 4.6925
Cu Rh Mg
1 2 1
direct
0.7500 0.7500 0.7500
0.4964 0.4964 0.5118
0.0036 0.0036 0.9882
0.2500 0.2500 0.2500
```

[2]
A relaxed structure of MgCuRh, computed with GGA-PBE.

The structure in POSCAR format:
```
MgCuRh
1.0
4.2438 0.0000 0.0000
-2.1219 3.6753 0.0000
0.0000 0.0000 2.8243
Rh Cu Mg
1 1 1
direct
0.3333 0.6667 0.7054
0.0000 0.0000 0.9886
0.6667 0.3333 0.3060
```

[3]
A relaxed structure of MgCu3Rh, computed with GGA-PBE.

The structure in POSCAR format:
```
MgCu3Rh
1.0
4.6204 0.0000 0.0000
0.0000 4.6204 0.0000
0.0000 0.0000 4.6204
Cu Mg Rh
3 1 1
direct
0.5000 0.0000 0.0000
0.0000 0.0000 0.5000
0.0000 0.5000 0.0000
0.5000 0.5000 0.5000
0.0000 0.0000 0.0000
```

[4]
A relaxed structure of Mg3Cu3Rh2, computed with GGA-PBE.

The structure in POSCAR format:
```
Mg3Cu3Rh2
1.0
4.0308 0.0000 0.0000
0.0000 4.1147 0.0000
0.0000 0.0000 6.9826
Mg Cu Rh
3 3 2
direct
0.5000 0.0000 0.5000
0.0000 0.5000 0.5000
0.5000 0.0000 0.0000
0.5000 0.5000 0.7625
0.5000 0.5000 0.2375
0.0000 0.5000 0.0000
0.0000 0.0000 0.2473
0.0000 0.0000 0.7527
```

In the order shown, the computed energy relative to the elements values come out to -0.18; -0.14; 0.76; -0.26 eV per atom.
In the order shown, the computed size of the total moment values come out to 0.00; 0.00; 0.00; 0.00 μB per cell.